[1]
# POsPt

A relaxed structure of POsPt (PBEsol, the Alexandria database).

Results
The calculation puts the density of states at the Fermi level at 2.59 states/eV/f.u. The value obtained for the electronic total energy is -8.258 eV per atom. The value obtained for the relative energy among the computed polymorphs is 0.000 eV per atom. As for the formation energy: 65.6 meV per atom. The value obtained for the size of the total moment is 0.0 μB/cell. Its space group is I4mm.

a b c (Å): 2.905 2.905 5.297
angles (deg): 105.91 105.91 90.00
Fractional positions:
Os  0.028  0.028  0.057
P  0.653  0.653  0.306
Pt  0.319  0.319  0.637

=====

[2]
# POsPt2

A relaxed structure of POsPt2 (PBEsol, the Alexandria database).

Results
The calculation puts the density of states at the Fermi level at 3.35 states/eV/f.u. The value obtained for the electronic total energy is -7.908 eV per atom. As for the formation energy: 75.2 meV per atom. The value obtained for the size of the total moment is 0.0 μB/cell. Its space group is Imm2.

a b c (Å): 2.948 4.219 5.269
angles (deg): 113.60 106.25 90.00
Fractional positions:
Os  0.551  0.551  0.102
P  0.245  0.745  0.489
Pt  0.949  0.949  0.899
Pt  0.755  0.255  0.510

=====

[3]
# POsPt3

A relaxed structure of POsPt3 (PBEsol, the Alexandria database).

Results
The calculation puts the density of states at the Fermi level at 5.78 states/eV/f.u. The value obtained for the electronic total energy is -6.828 eV per atom. As for the formation energy: 951.1 meV per atom. The value obtained for the size of the total moment is 1.9 μB/cell. Its space group is Pm-3m.

a b c (Å): 4.381 4.381 4.381
angles (deg): 90.00 90.00 90.00
Last column: magnetic moment on the atom in μB.
Fractional positions:
P  0.000  0.000  0.000  0.01
Os  0.500  0.500  0.500  1.49
Pt  0.000  0.500  0.000  0.07
Pt  0.000  0.000  0.500  0.07
Pt  0.500  0.000  0.000  0.07

=====

[4]
# RbP3Os

A relaxed structure of RbP3Os (PBEsol, the Alexandria database).

Results
The calculation puts the density of states at the Fermi level at 4.68 states/eV/f.u. The value obtained for the electronic total energy is -2.906 eV per atom. As for the formation energy: 3217.0 meV per atom. The value obtained for the size of the total moment is 0.7 μB/cell. Its space group is Pm-3m.

a b c (Å): 4.851 4.851 4.851
angles (deg): 90.00 90.00 90.00
Last column: magnetic moment on the atom in μB.
Fractional positions:
P  0.000  0.500  0.000  -0.05
P  0.000  0.000  0.500  -0.05
P  0.500  0.000  0.000  -0.05
Os  0.500  0.500  0.500  0.87
Rb  0.000  0.000  0.000  -0.01

=====

[5]
# RbPOsS2

A relaxed structure of RbPOsS2 (PBEsol, the Alexandria database).

Results
The formation energy (no corrections) is 82 meV/atom. The calculation puts the density of states at the Fermi level at 5.54 states/eV/f.u. The value obtained for the electronic total energy is -5.478 eV per atom. The value obtained for the size of the total moment is 0.0 μB/cell. Its space group is P4/mmm.

a b c (Å): 4.448 4.909 4.909
angles (deg): 90.00 90.00 90.00
Fractional positions:
P  0.500  0.000  0.000
S  0.000  0.000  0.500
S  0.000  0.500  0.000
Os  0.000  0.000  0.000
Rb  0.500  0.500  0.500

=====

[6]
# RbYPOs2

A relaxed structure of RbYPOs2 (PBEsol, the Alexandria database).

Results
The calculation puts the density of states at the Fermi level at 4.22 states/eV/f.u. The value obtained for the electronic total energy is -6.960 eV per atom. As for the formation energy: 654.2 meV per atom. The value obtained for the size of the total moment is 0.0 μB/cell. Its space group is P4/mmm.

a b c (Å): 4.463 4.463 5.222
angles (deg): 90.00 90.00 90.00
Fractional positions:
Y  0.000  0.000  0.500
P  0.000  0.000  0.000
Os  0.000  0.500  0.000
Os  0.500  0.000  0.000
Rb  0.500  0.500  0.500